Compound: SrSb2Pd
Source: Alexandria via LeMat-Bulk
Functional: PBE
Structure: relaxed

The uncorrected formation energy is -46.9 kJ per mole of atoms. The space-group type is No. 122. The final energy comes out at -17.06 eV per formula unit.

Unit cell a=5.2442 b=5.2442 c=9.8615 alpha=74.58 beta=74.58 gamma=90.00
Sites, in units of the cell vectors:
Sb 0.0048 0.6250 0.2500
Pd 0.7500 0.2500 0.5000
Pd 0.0000 0.0000 0.0000
Sb 0.8750 0.9952 0.7500
Sr 0.5000 0.5000 0.0000
Sb 0.3750 0.2548 0.7500
Sb 0.7452 0.1250 0.2500
Sr 0.2500 0.7500 0.5000


Compound: LiPu2Ga3
Source: Alexandria via LeMat-Bulk
Functional: PBE
Structure: relaxed

The space-group type is No. 166. The final energy comes out at -41.62 eV per formula unit. The value obtained for the energy of formation from the pure elements is -0.326 eV/atom.

Unit cell a=5.3792 b=5.3792 c=5.3792 alpha=62.66 beta=62.66 gamma=62.66
Each line ends with the local moment (μB).
Sites, in units of the cell vectors:
Li 0.0000 0.0000 0.0000  -0.01
Ga 0.5000 0.0000 0.0000  -0.04
Ga 0.0000 0.0000 0.5000  -0.04
Pu 0.6165 0.6165 0.6165  5.32
Ga 0.0000 0.5000 0.0000  -0.04
Pu 0.3835 0.3835 0.3835  5.32


Compound: NbSn2Bi2
Source: Alexandria via LeMat-Bulk
Functional: PBE
Structure: relaxed

The space-group type is No. 127. The final energy comes out at -23.97 eV per formula unit. The value obtained for the energy of formation from the pure elements is 0.373 eV/atom.

Unit cell a=7.5898 b=7.5898 c=4.7609 alpha=90.00 beta=90.00 gamma=90.00
Sites, in units of the cell vectors:
Sn 0.1502 0.3498 0.0000
Bi 0.8358 0.3358 0.5000
Nb 0.0000 0.0000 0.0000
Nb 0.5000 0.5000 0.0000
Bi 0.3358 0.1642 0.5000
Sn 0.3498 0.8498 0.0000
Bi 0.1642 0.6642 0.5000
Sn 0.8498 0.6502 0.0000
Bi 0.6642 0.8358 0.5000
Sn 0.6502 0.1502 0.0000


Compound: V3Cr3Mo2
Source: Alexandria via LeMat-Bulk
Functional: PBE
Structure: relaxed

The space-group type is No. 63. The final energy comes out at -75.50 eV per formula unit. The value obtained for the energy of formation from the pure elements is 0.298 eV/atom.

Unit cell a=2.9503 b=6.4858 c=12.3262 alpha=90.00 beta=90.00 gamma=103.15
Sites, in units of the cell vectors:
V 0.5749 0.1497 0.0920
Cr 0.9192 0.8383 0.0813
Cr 0.0808 0.1617 0.9187
Mo 0.2532 0.5064 0.4100
Cr 0.2497 0.4994 0.7500
Mo 0.2532 0.5064 0.0900
V 0.5720 0.1440 0.7500
V 0.4251 0.8503 0.5920
Mo 0.7468 0.4936 0.9100
Cr 0.9192 0.8383 0.4187
Mo 0.7468 0.4936 0.5900
V 0.4251 0.8503 0.9080
Cr 0.0808 0.1617 0.5813
V 0.5749 0.1497 0.4080
Cr 0.7503 0.5006 0.2500
V 0.4280 0.8560 0.2500